No. 1
A plane-wave DFT calculation with PBE was carried out for crystalline ZrScZnB2 at its relaxed geometry.

abc: 4.0736 4.0736 4.6614
angles: 90.00 90.00 90.00
With the nearest neighbours (Å) after each atom.
Atoms (fractional coordinates):
Zr: 0.0000 0.0000 0.0000  4 Sc 2.88, 8 B 3.10
Sc: 0.5000 0.5000 0.0000  2 Zn 2.33
Zn: 0.5000 0.5000 0.5000  4 B 2.04
B: 0.0000 0.5000 0.5000  2 Zn 2.04
B: 0.5000 0.0000 0.5000  2 Zn 2.04

Values from the calculation:
DFT formation energy (eV per atom): 1.06

No. 2
A plane-wave DFT calculation with PBE was carried out for crystalline ZrScZn2B at its relaxed geometry.

abc: 5.0706 5.0706 4.2453
angles: 90.00 90.00 90.00
With the nearest neighbours (Å) after each atom.
Atoms (fractional coordinates):
Zr: 0.0000 0.0000 0.0000  2 B 2.12
Sc: 0.5000 0.5000 0.5000  8 Zn 3.31, 4 B 3.59
Zn: 0.0000 0.5000 0.0000  2 Zr 2.54
Zn: 0.5000 0.0000 0.0000  2 Zr 2.54
B: 0.0000 0.0000 0.5000  2 Zr 2.12

Values from the calculation:
DFT formation energy (eV per atom): 0.83

No. 3
A plane-wave DFT calculation with PBE was carried out for crystalline ZrScB24 at its relaxed geometry.

abc: 9.0767 9.0767 9.0767
angles: 33.55 33.55 33.55
With the nearest neighbours (Å) after each atom.
Atoms (fractional coordinates):
Zr: 0.0000 0.0000 0.0000  24 B 2.75
Sc: 0.5000 0.5000 0.5000  24 B 2.75
B: 0.0805 0.4197 0.4197  5 B 1.68-1.78
B: 0.0805 0.0805 0.4191  5 B 1.68-1.78
B: 0.0805 0.4191 0.0805  5 B 1.68-1.78
B: 0.0889 0.4114 0.7497  5 B 1.69-1.78
B: 0.0889 0.7497 0.4114  5 B 1.69-1.78
B: 0.2503 0.5886 0.9111  5 B 1.69-1.78
B: 0.2503 0.9111 0.5886  5 B 1.69-1.78
B: 0.4114 0.0889 0.7497  5 B 1.69-1.78
B: 0.4114 0.7497 0.0889  5 B 1.69-1.78
B: 0.4191 0.0805 0.0805  5 B 1.68-1.78
B: 0.4197 0.0805 0.4197  5 B 1.68-1.78
B: 0.4197 0.4197 0.0805  5 B 1.68-1.78
B: 0.5803 0.5803 0.9195  5 B 1.68-1.78
B: 0.5803 0.9195 0.5803  5 B 1.68-1.78
B: 0.5809 0.9195 0.9195  5 B 1.68-1.78
B: 0.5886 0.2503 0.9111  5 B 1.69-1.78
B: 0.5886 0.9111 0.2503  5 B 1.69-1.78
B: 0.7497 0.0889 0.4114  5 B 1.69-1.78
B: 0.7497 0.4114 0.0889  5 B 1.69-1.78
B: 0.9111 0.2503 0.5886  5 B 1.69-1.78
B: 0.9111 0.5886 0.2503  5 B 1.69-1.78
B: 0.9195 0.5809 0.9195  5 B 1.68-1.78
B: 0.9195 0.9195 0.5809  5 B 1.68-1.78
B: 0.9195 0.5803 0.5803  5 B 1.68-1.78

Values from the calculation:
DFT formation energy (eV per atom): -0.22

No. 4
A plane-wave DFT calculation with PBE was carried out for crystalline ZrScB4 at its relaxed geometry.

abc: 4.4673 4.4673 4.4673
angles: 60.00 60.00 60.00
With the nearest neighbours (Å) after each atom.
Atoms (fractional coordinates):
Zr: 0.0000 0.0000 0.0000  12 B 2.67, 4 Sc 2.74
Sc: 0.2500 0.2500 0.2500  12 B 2.59, 4 Zr 2.74
B: 0.1943 0.6019 0.6019  3 B 1.82
B: 0.6019 0.1943 0.6019  3 B 1.82
B: 0.6019 0.6019 0.1943  3 B 1.82
B: 0.6019 0.6019 0.6019  3 B 1.82

Values from the calculation:
DFT formation energy (eV per atom): 0.05

No. 5
A plane-wave DFT calculation with PBE was carried out for crystalline ZrScB2 at its relaxed geometry.

abc: 6.3056 6.3056 6.1738
angles: 90.00 90.00 90.00
With the nearest neighbours (Å) after each atom.
Atoms (fractional coordinates):
Zr: 0.0000 0.0000 0.0000  4 B 2.36
Zr: 0.0000 0.5000 0.2500  4 B 2.36
Zr: 0.5000 0.0000 0.7500  4 B 2.36
Zr: 0.5000 0.5000 0.5000  4 B 2.36
Sc: 0.0000 0.0000 0.5000  4 B 2.36
Sc: 0.0000 0.5000 0.7500  4 B 2.36
Sc: 0.5000 0.0000 0.2500  4 B 2.36
Sc: 0.5000 0.5000 0.0000  4 B 2.36
B: 0.2500 0.2501 0.3750  2 Zr 2.36, 2 Sc 2.36
B: 0.2500 0.2499 0.8750  2 Zr 2.36, 2 Sc 2.36
B: 0.2499 0.7500 0.1250  2 Zr 2.36, 2 Sc 2.36
B: 0.2501 0.7500 0.6250  2 Zr 2.36, 2 Sc 2.36
B: 0.7501 0.2500 0.1250  2 Zr 2.36, 2 Sc 2.36
B: 0.7499 0.2500 0.6250  2 Zr 2.36, 2 Sc 2.36
B: 0.7500 0.7499 0.3750  2 Zr 2.36, 2 Sc 2.36
B: 0.7500 0.7501 0.8750  2 Zr 2.36, 2 Sc 2.36

Values from the calculation:
ΔE to the lowest computed polymorph (kJ per mole of atoms): 11.0
DFT formation energy (eV per atom): 0.21

No. 6
A plane-wave DFT calculation with PBE was carried out for crystalline ZrScB3 at its relaxed geometry.

abc: 4.2972 4.2972 4.2972
angles: 90.00 90.00 90.00
With the nearest neighbours (Å) after each atom.
Atoms (fractional coordinates):
Zr: 0.0000 0.0000 0.0000  6 B 2.15
Sc: 0.5000 0.5000 0.5000  12 B 3.04
B: 0.0000 0.0000 0.5000  2 Zr 2.15
B: 0.0000 0.5000 0.0000  2 Zr 2.15
B: 0.5000 0.0000 0.0000  2 Zr 2.15

Values from the calculation:
ΔE to the lowest computed polymorph (kJ per mole of atoms): 0.0
DFT formation energy (eV per atom): 0.98

No. 7
A plane-wave DFT calculation with PBE was carried out for crystalline ZrScB2 at its relaxed geometry.

abc: 6.0011 6.0011 6.0011
angles: 90.00 90.00 90.00
With the nearest neighbours (Å) after each atom.
Atoms (fractional coordinates):
Zr: 0.0000 0.0000 0.0000  8 B 2.60
Zr: 0.0000 0.5000 0.5000  8 B 2.60
Zr: 0.5000 0.0000 0.5000  8 B 2.60
Zr: 0.5000 0.5000 0.0000  8 B 2.60
Sc: 0.0000 0.0000 0.5000  8 B 2.60
Sc: 0.0000 0.5000 0.0000  8 B 2.60
Sc: 0.5000 0.0000 0.0000  8 B 2.60
Sc: 0.5000 0.5000 0.5000  8 B 2.60
B: 0.2500 0.2500 0.2500  4 Zr 2.60, 4 Sc 2.60
B: 0.2500 0.2500 0.7500  4 Zr 2.60, 4 Sc 2.60
B: 0.2500 0.7500 0.2500  4 Zr 2.60, 4 Sc 2.60
B: 0.2500 0.7500 0.7500  4 Zr 2.60, 4 Sc 2.60
B: 0.7500 0.2500 0.2500  4 Zr 2.60, 4 Sc 2.60
B: 0.7500 0.2500 0.7500  4 Zr 2.60, 4 Sc 2.60
B: 0.7500 0.7500 0.2500  4 Zr 2.60, 4 Sc 2.60
B: 0.7500 0.7500 0.7500  4 Zr 2.60, 4 Sc 2.60

Values from the calculation:
ΔE to the lowest computed polymorph (kJ per mole of atoms): 0.0
DFT formation energy (eV per atom): 0.10

No. 8
A plane-wave DFT calculation with PBE was carried out for crystalline Zr2ScB6 at its relaxed geometry.

abc: 5.4819 5.4819 3.5451
angles: 90.00 90.00 120.00
With the nearest neighbours (Å) after each atom.
Atoms (fractional coordinates):
Zr: 0.3333 0.6667 0.0000  12 B 2.55
Zr: 0.6667 0.3333 0.0000  12 B 2.55
Sc: 0.0000 0.0000 0.0000  12 B 2.54
B: 0.0000 0.3320 0.5000  3 B 1.82-1.84
B: 0.0000 0.6680 0.5000  3 B 1.82-1.84
B: 0.3320 0.0000 0.5000  3 B 1.82-1.84
B: 0.3320 0.3320 0.5000  3 B 1.82-1.84
B: 0.6680 0.0000 0.5000  3 B 1.82-1.84
B: 0.6680 0.6680 0.5000  3 B 1.82-1.84

Values from the calculation:
DFT formation energy (eV per atom): -0.95

No. 9
A plane-wave DFT calculation with PBE was carried out for crystalline ZrScB3 at its relaxed geometry.

abc: 4.1221 4.1221 4.1221
angles: 90.00 90.00 90.00
With the nearest neighbours (Å) after each atom.
Atoms (fractional coordinates):
Zr: 0.0000 0.0000 0.0000  12 B 2.91
Sc: 0.5000 0.5000 0.5000  6 B 2.06
B: 0.0000 0.5000 0.5000  2 Sc 2.06
B: 0.5000 0.0000 0.5000  2 Sc 2.06
B: 0.5000 0.5000 0.0000  2 Sc 2.06

Values from the calculation:
ΔE to the lowest computed polymorph (kJ per mole of atoms): 15.5
DFT formation energy (eV per atom): 1.14

No. 10
A plane-wave DFT calculation with PBE was carried out for crystalline ZrSc2B6 at its relaxed geometry.

abc: 5.4641 5.4641 3.5364
angles: 90.00 90.00 120.00
With the nearest neighbours (Å) after each atom.
Atoms (fractional coordinates):
Zr: 0.0000 0.0000 0.0000  12 B 2.54
Sc: 0.3333 0.6667 0.0000  12 B 2.54
Sc: 0.6667 0.3333 0.0000  12 B 2.54
B: 0.0000 0.3337 0.5000  3 B 1.82
B: 0.0000 0.6663 0.5000  3 B 1.82
B: 0.3337 0.0000 0.5000  3 B 1.82
B: 0.3337 0.3337 0.5000  3 B 1.82
B: 0.6663 0.0000 0.5000  3 B 1.82
B: 0.6663 0.6663 0.5000  3 B 1.82

Values from the calculation:
DFT formation energy (eV per atom): -0.89

No. 11
A plane-wave DFT calculation with PBE was carried out for crystalline BSe at its relaxed geometry.

abc: 3.2223 8.3094 11.5584
angles: 90.00 90.00 90.00
With the nearest neighbours (Å) after each atom.
Atoms (fractional coordinates):
B: 0.0000 0.0000 0.0000  2 Se 2.01
B: 0.0000 0.5000 0.5000  2 Se 2.01
B: 0.5000 0.0964 0.8078  1 B 1.60
B: 0.5000 0.4036 0.3078  1 B 1.60
B: 0.5000 0.5964 0.3078  1 B 1.60
B: 0.5000 0.9036 0.8078  1 B 1.60
Se: 0.0000 0.2091 0.8707  2 B 2.00
Se: 0.0000 0.2909 0.3707  2 B 2.00
Se: 0.0000 0.7091 0.3707  2 B 2.00
Se: 0.0000 0.7909 0.8707  2 B 2.00
Se: 0.5000 0.0000 0.1038  2 B 2.01
Se: 0.5000 0.5000 0.6038  2 B 2.01

Values from the calculation:
Formation energy from raw total energies (eV/atom): 0.251
ΔE to the lowest computed polymorph (kJ per mole of atoms): 40.0

No. 12
A plane-wave DFT calculation with PBE was carried out for crystalline BSe at its relaxed geometry.

abc: 5.6406 3.2573 8.4278
angles: 90.00 103.70 90.00
With the nearest neighbours (Å) after each atom.
Atoms (fractional coordinates):
B: 0.0000 0.0000 0.0000  1 B 1.71
B: 0.0740 0.0000 0.2091  1 B 1.71
B: 0.5000 0.5000 0.0000  1 B 1.71
B: 0.5740 0.5000 0.2091  1 B 1.71
Se: 0.1258 0.5000 0.8845  3 B 2.10-2.11
Se: 0.2816 0.5000 0.3247  3 B 2.10-2.11
Se: 0.6258 0.0000 0.8845  3 B 2.10-2.11
Se: 0.7816 0.0000 0.3247  3 B 2.10-2.11

Values from the calculation:
Formation energy from raw total energies (eV/atom): -0.148
ΔE to the lowest computed polymorph (kJ per mole of atoms): 1.4

No. 13
A plane-wave DFT calculation with PBE was carried out for crystalline BSe at its relaxed geometry.

abc: 3.2744 3.2744 8.2315
angles: 79.79 79.54 60.00
With the nearest neighbours (Å) after each atom.
Atoms (fractional coordinates):
B: 0.0326 0.0303 0.3953  1 B 1.69
B: 0.9674 0.9697 0.6047  1 B 1.69
Se: 0.2648 0.2695 0.7202  3 B 2.11
Se: 0.7352 0.7305 0.2798  3 B 2.11

Values from the calculation:
Formation energy from raw total energies (eV/atom): -0.163
ΔE to the lowest computed polymorph (kJ per mole of atoms): 0.0

No. 14
A plane-wave DFT calculation with PBE was carried out for crystalline BSe at its relaxed geometry.

abc: 3.2574 5.6405 8.3144
angles: 90.00 101.00 90.00
With the nearest neighbours (Å) after each atom.
Atoms (fractional coordinates):
B: 0.0511 0.0000 0.1049  1 B 1.71
B: 0.4489 0.5000 0.8951  1 B 1.71
B: 0.5511 0.5000 0.1049  1 B 1.71
B: 0.9489 0.0000 0.8951  1 B 1.71
Se: 0.1076 0.6666 0.2208  3 B 2.10-2.11
Se: 0.3924 0.1666 0.7792  3 B 2.10-2.11
Se: 0.6076 0.1666 0.2208  3 B 2.10-2.11
Se: 0.8924 0.6666 0.7792  3 B 2.10-2.11

Values from the calculation:
Formation energy from raw total energies (eV/atom): -0.148
ΔE to the lowest computed polymorph (kJ per mole of atoms): 1.4

No. 15
A plane-wave DFT calculation with PBE was carried out for crystalline BSe at its relaxed geometry.

abc: 7.2423 7.2423 4.3418
angles: 90.00 90.00 120.00
With the nearest neighbours (Å) after each atom.
Atoms (fractional coordinates):
B: 0.0387 0.3858 0.2500  4 Se 2.07-2.25
B: 0.3471 0.9613 0.2500  4 Se 2.07-2.25
B: 0.3858 0.3471 0.7500  4 Se 2.07-2.25
B: 0.6142 0.6529 0.2500  4 Se 2.07-2.25
B: 0.6529 0.0387 0.7500  4 Se 2.07-2.25
B: 0.9613 0.6142 0.7500  4 Se 2.07-2.25
Se: 0.0560 0.6807 0.2500  4 B 2.07-2.25
Se: 0.3193 0.3753 0.2500  4 B 2.07-2.25
Se: 0.3753 0.0560 0.7500  4 B 2.07-2.25
Se: 0.6247 0.9440 0.2500  4 B 2.07-2.25
Se: 0.6807 0.6247 0.7500  4 B 2.07-2.25
Se: 0.9440 0.3193 0.7500  4 B 2.07-2.25

Values from the calculation:
Formation energy from raw total energies (eV/atom): 0.690
ΔE to the lowest computed polymorph (kJ per mole of atoms): 82.3

No. 16
A plane-wave DFT calculation with PBE was carried out for crystalline BSe at its relaxed geometry.

abc: 5.9698 6.1630 10.4466
angles: 90.00 90.00 90.00
With the nearest neighbours (Å) after each atom.
Atoms (fractional coordinates):
B: 0.0528 0.1509 0.1861  1 B 1.61
B: 0.0924 0.7527 0.4294  1 B 1.61
B: 0.4076 0.2473 0.9294  1 B 1.61
B: 0.4472 0.8492 0.6861  1 B 1.61
B: 0.5528 0.3492 0.8139  1 B 1.61
B: 0.5924 0.7473 0.5706  1 B 1.61
B: 0.9076 0.2527 0.0706  1 B 1.61
B: 0.9472 0.6508 0.3139  1 B 1.61
Se: 0.1900 0.8725 0.2489  3 B 2.01-2.11
Se: 0.2362 0.3794 0.0732  3 B 1.99-2.14
Se: 0.2638 0.6206 0.5732  3 B 1.99-2.14
Se: 0.3100 0.1275 0.7489  3 B 2.01-2.11
Se: 0.6900 0.6275 0.7511  3 B 2.01-2.11
Se: 0.7362 0.1206 0.9268  3 B 1.99-2.14
Se: 0.7638 0.8794 0.4268  3 B 1.99-2.14
Se: 0.8100 0.3725 0.2511  3 B 2.01-2.11

Values from the calculation:
Formation energy from raw total energies (eV/atom): 0.263
ΔE to the lowest computed polymorph (kJ per mole of atoms): 41.1

No. 17
A plane-wave DFT calculation with PBE was carried out for crystalline BSe at its relaxed geometry.

abc: 4.9706 4.9706 4.9706
angles: 90.00 90.00 90.00
With the nearest neighbours (Å) after each atom.
Atoms (fractional coordinates):
B: 0.0000 0.0000 0.0000  4 Se 2.15
B: 0.0000 0.5000 0.5000  4 Se 2.15
B: 0.5000 0.0000 0.5000  4 Se 2.15
B: 0.5000 0.5000 0.0000  4 Se 2.15
Se: 0.2500 0.2500 0.7500  4 B 2.15
Se: 0.2500 0.7500 0.2500  4 B 2.15
Se: 0.7500 0.2500 0.2500  4 B 2.15
Se: 0.7500 0.7500 0.7500  4 B 2.15

Values from the calculation:
Formation energy from raw total energies (eV/atom): 0.922
ΔE to the lowest computed polymorph (kJ per mole of atoms): 104.7

No. 18
A plane-wave DFT calculation with PBE was carried out for crystalline BSe at its relaxed geometry.

abc: 5.6640 3.2623 3.7427
angles: 90.00 118.93 90.00
With the nearest neighbours (Å) after each atom.
Atoms (fractional coordinates):
B: 0.0000 0.0000 0.0000  3 Se 2.07
B: 0.5000 0.5000 0.0000  3 Se 2.07
Se: 0.0840 0.5000 0.7410  3 B 2.07
Se: 0.5840 0.0000 0.7410  3 B 2.07

Values from the calculation:
Formation energy from raw total energies (eV/atom): 0.669
ΔE to the lowest computed polymorph (kJ per mole of atoms): 80.2

No. 19
A plane-wave DFT calculation with PBE was carried out for crystalline BSe at its relaxed geometry.

abc: 7.6092 6.0407 5.9424
angles: 78.83 51.15 50.01
With the nearest neighbours (Å) after each atom.
Atoms (fractional coordinates):
B: 0.0218 0.0218 0.7282  4 Se 2.04-2.24
B: 0.2718 0.2718 0.9782  4 Se 2.04-2.24
B: 0.7282 0.7282 0.0218  4 Se 2.04-2.24
B: 0.9782 0.9782 0.2718  4 Se 2.04-2.24
Se: 0.0230 0.7270 0.0230  4 B 2.04-2.24
Se: 0.2730 0.9770 0.2730  4 B 2.04-2.24
Se: 0.7270 0.0230 0.7270  4 B 2.04-2.24
Se: 0.9770 0.2730 0.9770  4 B 2.04-2.24

Values from the calculation:
Formation energy from raw total energies (eV/atom): 0.864
ΔE to the lowest computed polymorph (kJ per mole of atoms): 99.1

No. 20
A plane-wave DFT calculation with PBE was carried out for crystalline BSe at its relaxed geometry.

abc: 6.0080 6.0080 6.0080
angles: 90.00 90.00 90.00
With the nearest neighbours (Å) after each atom.
Atoms (fractional coordinates):
B: 0.0000 0.2500 0.5000  4 Se 2.12
B: 0.0000 0.7500 0.5000  4 Se 2.12
B: 0.2500 0.5000 0.0000  4 Se 2.12
B: 0.5000 0.0000 0.2500  4 Se 2.12
B: 0.5000 0.0000 0.7500  4 Se 2.12
B: 0.7500 0.5000 0.0000  4 Se 2.12
Se: 0.0000 0.5000 0.2500  4 B 2.12
Se: 0.0000 0.5000 0.7500  4 B 2.12
Se: 0.2500 0.0000 0.5000  4 B 2.12
Se: 0.5000 0.2500 0.0000  4 B 2.12
Se: 0.5000 0.7500 0.0000  4 B 2.12
Se: 0.7500 0.0000 0.5000  4 B 2.12

Values from the calculation:
Formation energy from raw total energies (eV/atom): 0.823
ΔE to the lowest computed polymorph (kJ per mole of atoms): 95.1